Entry 1:
# PBE-GGA Al2ReNi, relaxed
data_Al2ReNi
_chemical_formula_sum 'Al4 Re2 Ni2'
_symmetry_space_group_name_H-M 'C m m m'
_symmetry_Int_Tables_number 65
_symmetry_space_group_name_Hall '-C 2 2'
_cell_length_a 3.193
_cell_length_b 4.353
_cell_length_c 7.834
_cell_angle_alpha 90.00
_cell_angle_beta 90.00
_cell_angle_gamma 90.00
loop_
_atom_site_label
_atom_site_fract_x
_atom_site_fract_y
_atom_site_fract_z
Al1 0.000 0.000 0.231
Re1 0.000 0.500 0.500
Ni1 0.000 0.500 0.000
# Calculated volume: 54 Å³/f.u.
# Calculated total energy: -53.3 eV/cell
# Crystal system: orthorhombic

---

Entry 2:
# PBE-GGA Na2ScRu, relaxed
data_Na2ScRu
_chemical_formula_sum 'Na8 Sc4 Ru4'
_symmetry_space_group_name_H-M 'I -4 2 d'
_symmetry_Int_Tables_number 122
_symmetry_space_group_name_Hall 'I -4 2bw'
_cell_length_a 3.797
_cell_length_b 3.797
_cell_length_c 23.295
_cell_angle_alpha 90.00
_cell_angle_beta 90.00
_cell_angle_gamma 90.00
loop_
_atom_site_label
_atom_site_fract_x
_atom_site_fract_y
_atom_site_fract_z
Na1 0.235 0.250 0.125
Sc1 0.000 0.000 0.500
Ru1 0.000 0.000 0.000
# Calculated volume: 84 Å³/f.u.
# Calculated total energy: -66.6 eV/cell
# Crystal system: tetragonal

---

Entry 3:
# PBE-GGA LiScTc2Sb, relaxed
data_LiScTc2Sb
_chemical_formula_sum 'Li1 Sc1 Tc2 Sb1'
_symmetry_space_group_name_H-M 'P 4/m m m'
_symmetry_Int_Tables_number 123
_symmetry_space_group_name_Hall '-P 4 2'
_cell_length_a 4.382
_cell_length_b 4.382
_cell_length_c 4.233
_cell_angle_alpha 90.00
_cell_angle_beta 90.00
_cell_angle_gamma 90.00
loop_
_atom_site_label
_atom_site_fract_x
_atom_site_fract_y
_atom_site_fract_z
Li1 0.000 0.000 0.000
Sc1 0.000 0.000 0.500
Tc1 0.000 0.500 0.000
Sb1 0.500 0.500 0.500
# Calculated volume: 81 Å³/f.u.
# Calculated total energy: -29.9 eV/cell
# Crystal system: tetragonal
# Raw formation energy: 3.179 eV per formula unit

---

Entry 4:
# PBE-GGA CrSbIr2, relaxed
data_CrSbIr2
_chemical_formula_sum 'Cr2 Sb2 Ir4'
_symmetry_space_group_name_H-M 'I m m 2'
_symmetry_Int_Tables_number 44
_cell_length_a 2.999
_cell_length_b 4.615
_cell_length_c 9.317
_cell_angle_alpha 90.00
_cell_angle_beta 90.00
_cell_angle_gamma 90.00
loop_
_symmetry_equiv_pos_as_xyz
'x,y,z'
'-x,-y,z'
'-x,y,z'
'x,-y,z'
'x+1/2,y+1/2,z+1/2'
'-x+1/2,-y+1/2,z+1/2'
'-x+1/2,y+1/2,z+1/2'
'x+1/2,-y+1/2,z+1/2'
loop_
_atom_site_label
_atom_site_fract_x
_atom_site_fract_y
_atom_site_fract_z
Cr1 0.000 0.000 0.000
Sb1 0.000 0.500 0.252
Ir1 0.000 0.000 0.514
Ir2 0.000 0.500 0.741
# Calculated volume: 64 Å³/f.u.
# Calculated total energy: -60.8 eV/cell
# Crystal system: orthorhombic
# Raw formation energy: 1.072 eV per formula unit

---

Entry 5:
# PBE-GGA CsNa4Ag, relaxed
data_CsNa4Ag
_chemical_formula_sum 'Cs4 Na16 Ag4'
_symmetry_space_group_name_H-M 'C 1 2/m 1'
_symmetry_Int_Tables_number 12
_cell_length_a 22.954
_cell_length_b 8.363
_cell_length_c 5.841
_cell_angle_alpha 90.00
_cell_angle_beta 104.44
_cell_angle_gamma 90.00
loop_
_symmetry_equiv_pos_as_xyz
'x,y,z'
'-x,-y,-z'
'-x,y,-z'
'x,-y,z'
'x+1/2,y+1/2,z'
'-x+1/2,-y+1/2,-z'
'-x+1/2,y+1/2,-z'
'x+1/2,-y+1/2,z'
loop_
_atom_site_label
_atom_site_fract_x
_atom_site_fract_y
_atom_site_fract_z
Cs1 0.215 0.000 0.215
Na1 0.000 0.188 0.000
Na2 0.085 0.248 0.584
Na3 0.122 0.500 0.120
Ag1 0.000 0.500 0.256
# Calculated volume: 271 Å³/f.u.
# Calculated total energy: -35.6 eV/cell
# Crystal system: monoclinic

---

Entry 6:
# PBE-GGA PrSm3N3, relaxed
data_PrSm3N3
_chemical_formula_sum 'Pr1 Sm3 N3'
_symmetry_space_group_name_H-M 'P m -3 m'
_symmetry_Int_Tables_number 221
_symmetry_space_group_name_Hall '-P 4 2 3'
_cell_length_a 5.116
_cell_length_b 5.116
_cell_length_c 5.116
_cell_angle_alpha 90.00
_cell_angle_beta 90.00
_cell_angle_gamma 90.00
loop_
_atom_site_label
_atom_site_fract_x
_atom_site_fract_y
_atom_site_fract_z
Pr1 0.000 0.000 0.000
Sm1 0.000 0.500 0.500
N1 0.000 0.000 0.500
# Calculated volume: 134 Å³/f.u.
# Calculated total energy: -52.0 eV/cell
# Crystal system: cubic
# Raw formation energy: -8.075 eV per formula unit

---

Entry 7:
# PBE-GGA ZrPtW2, relaxed
data_ZrPtW2
_chemical_formula_sum 'Zr1 Pt1 W2'
_symmetry_space_group_name_H-M 'P m m 2'
_symmetry_Int_Tables_number 25
_cell_length_a 2.801
_cell_length_b 4.049
_cell_length_c 6.134
_cell_angle_alpha 90.00
_cell_angle_beta 90.00
_cell_angle_gamma 90.00
loop_
_symmetry_equiv_pos_as_xyz
'x,y,z'
'-x,-y,z'
'-x,y,z'
'x,-y,z'
loop_
_atom_site_label
_atom_site_fract_x
_atom_site_fract_y
_atom_site_fract_z
Zr1 0.000 0.000 0.000
Pt1 0.500 0.500 0.246
W1 0.000 0.000 0.495
W2 0.500 0.500 0.716
# Calculated volume: 70 Å³/f.u.
# Calculated total energy: -40.6 eV/cell
# Crystal system: orthorhombic

---

Entry 8:
# PBE-GGA TiMnV4, relaxed
data_TiMnV4
_chemical_formula_sum 'Ti4 Mn4 V16'
_symmetry_space_group_name_H-M 'F -4 3 m'
_symmetry_Int_Tables_number 216
_symmetry_space_group_name_Hall 'F -4 2 3'
_cell_length_a 6.936
_cell_length_b 6.936
_cell_length_c 6.936
_cell_angle_alpha 90.00
_cell_angle_beta 90.00
_cell_angle_gamma 90.00
loop_
_atom_site_label
_atom_site_fract_x
_atom_site_fract_y
_atom_site_fract_z
Ti1 0.000 0.000 0.000
Mn1 0.250 0.250 0.250
V1 0.125 0.125 0.625
# Calculated volume: 83 Å³/f.u.
# Calculated total energy: -211.8 eV/cell
# Crystal system: cubic

---

Entry 9:
# PBE-GGA CsKGe2, relaxed
data_CsKGe2
_chemical_formula_sum 'Cs4 K4 Ge8'
_symmetry_space_group_name_H-M 'I -4 2 d'
_symmetry_Int_Tables_number 122
_symmetry_space_group_name_Hall 'I -4 2bw'
_cell_length_a 10.032
_cell_length_b 10.032
_cell_length_c 5.972
_cell_angle_alpha 90.00
_cell_angle_beta 90.00
_cell_angle_gamma 90.00
loop_
_atom_site_label
_atom_site_fract_x
_atom_site_fract_y
_atom_site_fract_z
Cs1 0.000 0.000 0.000
K1 0.000 0.000 0.500
Ge1 0.243 0.250 0.625
# Calculated volume: 150 Å³/f.u.
# Calculated total energy: -37.1 eV/cell
# Crystal system: tetragonal

---

Entry 10:
# PBE-GGA Sr2CdGeIr, relaxed
data_Sr2CdGeIr
_chemical_formula_sum 'Sr2 Cd1 Ge1 Ir1'
_symmetry_space_group_name_H-M 'P 4/m m m'
_symmetry_Int_Tables_number 123
_symmetry_space_group_name_Hall '-P 4 2'
_cell_length_a 5.893
_cell_length_b 5.893
_cell_length_c 4.712
_cell_angle_alpha 90.00
_cell_angle_beta 90.00
_cell_angle_gamma 90.00
loop_
_atom_site_label
_atom_site_fract_x
_atom_site_fract_y
_atom_site_fract_z
Sr1 0.000 0.500 0.000
Cd1 0.000 0.000 0.500
Ge1 0.500 0.500 0.500
Ir1 0.500 0.500 0.000
# Calculated volume: 164 Å³/f.u.
# Calculated total energy: -19.4 eV/cell
# Crystal system: tetragonal

---

Entry 11:
# PBE-GGA CdPb2W, relaxed
data_CdPb2W
_chemical_formula_sum 'Cd3 Pb6 W3'
_symmetry_space_group_name_H-M 'R -3 m'
_symmetry_Int_Tables_number 166
_symmetry_space_group_name_Hall '-R 3 2"'
_cell_length_a 3.1640
_cell_length_b 3.1640
_cell_length_c 35.0050
_cell_angle_alpha 90.00
_cell_angle_beta 90.00
_cell_angle_gamma 120.00
loop_
_atom_site_label
_atom_site_fract_x
_atom_site_fract_y
_atom_site_fract_z
Cd1 0.0000 0.0000 0.0000
Pb1 0.0000 0.0000 0.2368
W1 0.0000 0.0000 0.5000
# Calculated volume: 101 Å³/f.u.
# Calculated total energy: -56.3 eV/cell
# Crystal system: trigonal

---

Entry 12:
# PBE-GGA GdAlSn2, relaxed
data_GdAlSn2
_chemical_formula_sum 'Gd3 Al3 Sn6'
_symmetry_space_group_name_H-M 'R -3 m'
_symmetry_Int_Tables_number 166
_symmetry_space_group_name_Hall '-R 3 2"'
_cell_length_a 4.8021
_cell_length_b 4.8021
_cell_length_c 15.3223
_cell_angle_alpha 90.00
_cell_angle_beta 90.00
_cell_angle_gamma 120.00
loop_
_atom_site_label
_atom_site_fract_x
_atom_site_fract_y
_atom_site_fract_z
Gd1 0.0000 0.0000 0.0000
Al1 0.0000 0.0000 0.5000
Sn1 0.0000 0.0000 0.2250
# Calculated volume: 102 Å³/f.u.
# Calculated total energy: -80.2 eV/cell
# Crystal system: trigonal